K2H2Se3 GGA-PBE relaxed; energy = -23.32 eV for the cell shown; density = 2.983 g/cm³
1.0
-1.215 4.929 1.146
0.975 -0.854 4.709
5.614 5.905 -0.091
K Se H
2 3 2
Direct
0.066 0.500 0.715
0.934 0.500 0.285
0.578 0.000 0.689
0.422 0.000 0.311
0.000 0.000 0.000
0.286 0.000 0.186
0.714 0.000 0.814

YAgS2 GGA-PBE relaxed; formation energy (no corrections) = -1.17 eV/atom; DOS(E_F) = 0.00 states/eV per cell; density = 4.434 g/cm³
1.0
-2.975 2.046 -2.742
2.649 -3.314 -1.599
-3.811 -3.706 1.368
Y S Ag
1 2 1
Direct
0.333 0.667 0.364
0.333 0.667 0.864
0.667 0.333 0.364
0.000 0.000 0.864